Entry from the Alexandria database: a relaxed ZnGa5Ag3 crystal (PBE).

abc: 6.956 6.956 8.361
angles: 102.80 102.80 89.38
Sites, in units of the cell vectors:
Zn 0.248 0.248 0.252
Zn 0.752 0.752 0.748
Ga 0.155 0.642 0.592
Ga 0.245 0.245 0.585
Ga 0.249 0.249 0.925
Ga 0.262 0.738 0.000
Ga 0.358 0.845 0.408
Ga 0.642 0.155 0.592
Ga 0.738 0.262 0.000
Ga 0.751 0.751 0.075
Ga 0.755 0.755 0.415
Ga 0.845 0.358 0.408
Ag 0.000 0.000 0.000
Ag 0.006 0.006 0.671
Ag 0.494 0.494 0.168
Ag 0.500 0.500 0.500
Ag 0.506 0.506 0.832
Ag 0.994 0.994 0.329

E_tot (eV per cell): -47.152
Calculated formation energy (eV/atom): 0.15
Density (g/cm3): 6.37
Fermi-level density of states (states/eV/atom): 0.275



Entry from the Alexandria database: a relaxed Zn8GaAg6 crystal (PBE).

abc: 7.019 7.019 7.019
angles: 62.84 62.84 62.84
Sites, in units of the cell vectors:
Zn 0.048 0.376 0.687
Zn 0.240 0.240 0.240
Zn 0.313 0.952 0.624
Zn 0.376 0.687 0.048
Zn 0.624 0.313 0.952
Zn 0.687 0.048 0.376
Zn 0.760 0.760 0.760
Zn 0.952 0.624 0.313
Ga 0.500 0.500 0.500
Ag 0.133 0.837 0.392
Ag 0.163 0.608 0.867
Ag 0.392 0.133 0.837
Ag 0.608 0.867 0.163
Ag 0.837 0.392 0.133
Ag 0.867 0.163 0.608

E_tot (eV per cell): -29.864
Calculated formation energy (eV/atom): 0.03
Density (g/cm3): 7.92
Fermi-level density of states (states/eV/atom): 0.221



Entry from the Alexandria database: a relaxed Zn2Ga6Ag crystal (PBE).

abc: 8.246 8.246 5.075
angles: 95.98 95.98 105.68
Sites, in units of the cell vectors:
Zn 0.113 0.127 0.421
Zn 0.127 0.113 0.921
Zn 0.873 0.887 0.079
Zn 0.887 0.873 0.579
Ga 0.061 0.398 0.170
Ga 0.161 0.725 0.468
Ga 0.230 0.450 0.722
Ga 0.275 0.839 0.032
Ga 0.398 0.061 0.670
Ga 0.450 0.230 0.222
Ga 0.550 0.770 0.778
Ga 0.602 0.939 0.330
Ga 0.725 0.161 0.968
Ga 0.770 0.550 0.278
Ga 0.839 0.275 0.532
Ga 0.939 0.602 0.830
Ag 0.431 0.569 0.250
Ag 0.569 0.431 0.750

E_tot (eV per cell): -46.365
Calculated formation energy (eV/atom): 0.04
Density (g/cm3): 6.67
Fermi-level density of states (states/eV/atom): 0.270
Relative energy among the computed polymorphs (meV/atom): 0



Entry from the Alexandria database: a relaxed ZnGa7Ag4 crystal (PBE).

abc: 3.099 3.099 25.669
angles: 90.00 90.00 120.00
Sites, in units of the cell vectors:
Zn 0.000 0.000 0.000
Ga 0.000 0.000 0.250
Ga 0.000 0.000 0.500
Ga 0.000 0.000 0.750
Ga 0.333 0.667 0.669
Ga 0.333 0.667 0.918
Ga 0.667 0.333 0.082
Ga 0.667 0.333 0.331
Ag 0.333 0.667 0.166
Ag 0.333 0.667 0.415
Ag 0.667 0.333 0.585
Ag 0.667 0.333 0.834

E_tot (eV per cell): -33.791
Calculated formation energy (eV/atom): 0.01
Density (g/cm3): 7.66
Fermi-level density of states (states/eV/atom): 0.274



Entry from the Alexandria database: a relaxed ZnGa3Ag7 crystal (PBE).

abc: 6.641 6.641 5.243
angles: 107.95 107.95 92.23
Sites, in units of the cell vectors:
Zn 0.000 0.000 0.000
Ga 0.277 0.723 0.500
Ga 0.500 0.500 0.000
Ga 0.723 0.277 0.500
Ag 0.000 0.000 0.500
Ag 0.090 0.559 0.819
Ag 0.301 0.301 0.425
Ag 0.441 0.910 0.181
Ag 0.559 0.090 0.819
Ag 0.699 0.699 0.575
Ag 0.910 0.441 0.181

E_tot (eV per cell): -29.238
Calculated formation energy (eV/atom): 0.10
Density (g/cm3): 8.26
Fermi-level density of states (states/eV/atom): 0.290



Entry from the Alexandria database: a relaxed Zn2GaAg2 crystal (PBE).

abc: 5.383 5.383 7.333
angles: 107.40 107.40 55.19
Sites, in units of the cell vectors:
Zn 0.059 0.734 0.546
Zn 0.266 0.941 0.954
Zn 0.734 0.059 0.046
Zn 0.941 0.266 0.454
Ga 0.318 0.682 0.250
Ga 0.682 0.318 0.750
Ag 0.144 0.471 0.850
Ag 0.471 0.144 0.350
Ag 0.529 0.856 0.650
Ag 0.856 0.529 0.150

E_tot (eV per cell): -22.683
Calculated formation energy (eV/atom): -0.01
Density (g/cm3): 8.42
Fermi-level density of states (states/eV/atom): 0.192
Relative energy among the computed polymorphs (meV/atom): 0



Entry from the Alexandria database: a relaxed Zn2GaAg2 crystal (PBE).

abc: 7.806 7.806 2.888
angles: 90.00 90.00 90.00
Sites, in units of the cell vectors:
Zn 0.120 0.380 0.000
Zn 0.380 0.880 0.000
Zn 0.620 0.120 0.000
Zn 0.880 0.620 0.000
Ga 0.000 0.000 0.000
Ga 0.500 0.500 0.000
Ag 0.178 0.678 0.500
Ag 0.322 0.178 0.500
Ag 0.678 0.822 0.500
Ag 0.822 0.322 0.500

E_tot (eV per cell): -22.157
Calculated formation energy (eV/atom): 0.04
Density (g/cm3): 7.86
Fermi-level density of states (states/eV/atom): 0.267
Relative energy among the computed polymorphs (meV/atom): 53



Entry from the Alexandria database: a relaxed ZnGaAg crystal (PBE).

abc: 4.354 4.354 4.354
angles: 60.00 60.00 60.00
Sites, in units of the cell vectors:
Zn 0.000 0.000 0.000
Ga 0.500 0.500 0.500
Ag 0.750 0.750 0.750

E_tot (eV per cell): -6.873
Calculated formation energy (eV/atom): 0.09
Density (g/cm3): 6.92
Fermi-level density of states (states/eV/atom): 0.896
Relative energy among the computed polymorphs (meV/atom): 112